(1)
This record from the Alexandria database describes NaLi3Zn after structural relaxation. The functional is PBE-GGA.

It has space group Pm-3m (No. 221), with a = 5.024 Å, b = 5.024 Å, c = 5.024 Å, α = 90.00°, β = 90.00° and γ = 90.00°. The inequivalent atoms are Na at (0.000, 0.000, 0.000), Li at (0.000, 0.000, 0.500) and Zn at (0.500, 0.500, 0.500).

The calculation puts the polymorph energy (0 for the lowest one) at 1.97 eV/f.u. The crystal system is cubic. Its density of states at the Fermi level is 2.2 states/eV/cell.

(2)
This record from the Alexandria database describes NaLi6Zn8 after structural relaxation. The functional is PBE-GGA.

It has space group R-3 (No. 148, hexagonal axes), with a = 7.4886 Å, b = 7.4886 Å, c = 15.8755 Å, α = 90.00°, β = 90.00° and γ = 120.00°. The inequivalent atoms are Na at (0.0000, 0.0000, 0.0000), Li at (0.0023, 0.2344, 0.6274), Zn at (0.0000, 0.0000, 0.2328) and Zn at (0.0004, 0.3189, 0.1343).

The crystal system is trigonal. Its density of states at the Fermi level is 12.0 states/eV/cell.

(3)
This record from the Alexandria database describes NaLi8Zn4 after structural relaxation. The functional is PBE-GGA.

It has space group I4/mmm (No. 139), with a = 9.534 Å, b = 9.534 Å, c = 5.186 Å, α = 90.00°, β = 90.00° and γ = 90.00°. The inequivalent atoms are Na at (0.000, 0.000, 0.000), Li at (0.000, 0.222, 0.500), Li at (0.000, 0.347, 0.000) and Zn at (0.250, 0.250, 0.250).

The crystal system is tetragonal. Its density of states at the Fermi level is 9.9 states/eV/cell.

(4)
This record from the Alexandria database describes NaLiZn10 after structural relaxation. The functional is PBE-GGA.

It has space group Pmmm (No. 47), with a = 4.282 Å, b = 5.232 Å, c = 9.089 Å, α = 90.00°, β = 90.00° and γ = 90.00°. The inequivalent atoms are Na at (0.000, 0.000, 0.000), Li at (0.000, 0.500, 0.500), Zn at (0.000, 0.000, 0.339), Zn at (0.000, 0.500, 0.177), Zn at (0.500, 0.000, 0.500), Zn at (0.500, 0.251, 0.253) and Zn at (0.500, 0.500, 0.000).

The crystal system is orthorhombic. Its density of states at the Fermi level is 3.1 states/eV/cell.

no.,formation energy (meV/atom)
1,494.0
2,-54.0
3,-99.1
4,-48.3